The following is a DFT calculation (GGA-PBE) of a relaxed Sc5PtRh2 crystal.

Structure (extended XYZ):
```
16
Lattice="6.2894 0.0000 -2.9689 -1.4015 6.1312 -2.9689 -0.0012 -0.0015 8.1436" Properties=species:S:1:pos:R:3 pbc="T T T"
Pt 3.6653 4.5976 -0.3816
Pt 1.2214 1.5320 2.5873
Sc 2.4439 3.0656 -2.9689
Sc 3.7548 5.9809 -2.9527
Sc 5.4688 2.9153 -1.9466
Sc 1.1319 0.1488 5.1584
Sc 2.3367 4.2022 2.1895
Sc 0.8359 4.9931 -0.9899
Sc -0.5821 3.2144 4.1523
Sc 0.0000 0.0000 0.0000
Sc 2.5499 1.9275 0.0162
Sc 4.0508 1.1366 3.1957
Rh 4.5378 3.9033 -4.4534
Rh 0.3501 2.2279 -1.4845
Rh 3.8125 0.8377 -2.2958
Rh 1.0753 5.2935 -3.6421
```

Results
* symmetry: I4/mcm (140)
* M_tot: 0.00 Bohr magnetons per cell
* energy of formation: -844.9 meV/atom



The following is a DFT calculation (GGA-PBE) of a relaxed Sc8Ga2Ni crystal.

Structure (extended XYZ):
```
11
Lattice="-2.2834 -2.9560 -2.6949 1.0022 -4.4635 4.0469 -6.2064 4.7349 4.0010" Properties=species:S:1:pos:R:3 pbc="T T T"
Ga -1.9870 -2.1464 4.0380
Ga -5.5005 -0.5383 1.3149
Sc -7.9726 0.6565 2.0989
Sc 0.4850 -3.3412 3.2540
Sc -5.1209 2.1997 1.9260
Sc -2.3667 -4.8844 3.4269
Sc -5.4697 0.2645 4.3443
Sc -2.0178 -2.9492 1.0086
Sc -2.7668 -0.0290 2.3760
Sc -4.7208 -2.6557 2.9769
Ni -1.1417 -1.4780 -1.3475
```

Results
* symmetry: C2/m (12)
* M_tot: 0.00 Bohr magnetons per cell
* distance to the lowest polymorph of the same formula: 0 meV per atom
* energy of formation: -312.6 meV/atom



The following is a DFT calculation (GGA-PBE) of a relaxed BaCaVAs2 crystal.

Structure (extended XYZ):
```
5
Lattice="5.0300 0.0000 0.0000 0.0000 5.2348 0.0000 0.0000 0.0000 5.0300" Properties=species:S:1:pos:R:3 pbc="T T T"
As 2.5150 0.0000 0.0000
As 0.0000 0.0000 2.5150
Ba 0.0000 2.6174 0.0000
V 0.0000 0.0000 0.0000
Ca 2.5150 2.6174 2.5150
```

Results
* symmetry: P4/mmm (123)
* M_tot: 0.98 Bohr magnetons per cell
* energy of formation: 12.1 meV/atom



The following is a DFT calculation (GGA-PBE) of a relaxed Na2HoSiSe4 crystal.

Structure (extended XYZ):
```
16
Lattice="8.1310 -0.0249 -0.1920 -0.0306 8.1309 -0.1920 -4.1187 -4.1215 5.9250" Properties=species:S:1:pos:R:3 pbc="T T T"
Se 6.2728 1.8760 -0.1612
Se 0.0886 3.8491 2.7397
Se 3.8930 0.1353 2.8013
Se 3.9089 3.8524 2.8703
Se 1.8588 1.9194 0.0998
Se -2.2909 2.1085 5.7022
Se 0.0728 0.1321 2.6707
Se 2.1229 2.0651 5.4411
Si 1.9908 1.9923 2.7705
Si 4.0123 -4.1464 5.7330
Ho 6.0563 1.9798 2.6744
Ho -0.0153 4.0655 -0.0960
Na 4.0655 -0.0124 -0.0960
Na -2.0593 -2.0607 2.9625
Na 2.0061 -2.0732 2.8665
Na 4.0502 4.0530 -0.1920
```

Results
* symmetry: Imma (74)
* M_tot: 0.00 Bohr magnetons per cell
* uncorrected energy: -4.38 eV/atom



The following is a DFT calculation (GGA-PBE) of a relaxed Ac2Ga2Tc2C crystal.

Structure (extended XYZ):
```
7
Lattice="-3.5861 -1.1277 -1.7867 -1.2221 -5.8974 1.3270 -4.7804 0.2137 4.6117" Properties=species:S:1:pos:R:3 pbc="T T T"
C 0.0000 0.0000 0.0000
Ga -2.4413 -2.4429 1.5936
Ga -7.1474 -4.3685 2.5584
Ac -4.0016 -5.3575 1.7168
Ac -5.5870 -1.4539 2.4352
Tc -5.9730 -4.0593 4.8544
Tc -3.6156 -2.7520 -0.7023
```

Results
* symmetry: C2/m (12)
* M_tot: 0.00 Bohr magnetons per cell
* energy of formation: -301.5 meV/atom



The following is a DFT calculation (GGA-PBE) of a relaxed AcGaO crystal.

Structure (extended XYZ):
```
6
Lattice="4.3963 -0.0251 0.0180 0.0219 4.2298 0.5404 -0.0254 1.1502 7.8033" Properties=species:S:1:pos:R:3 pbc="T T T"
Ac 3.2841 1.4578 5.2699
Ac 1.1087 3.8971 3.0918
Ga 3.3056 2.0196 0.7971
Ga 1.0872 3.3353 7.5646
O 3.3012 3.7355 4.2631
O 1.0916 1.6194 4.0987
```

Results
* symmetry: P2_1/m (11)
* M_tot: 0.00 Bohr magnetons per cell
* distance to the lowest polymorph of the same formula: 0 meV per atom



The following is a DFT calculation (GGA-PBE) of a relaxed TlGa3P crystal.

Structure (extended XYZ):
```
5
Lattice="5.2621 0.0000 0.0000 0.0000 5.2621 0.0000 0.0000 0.0000 5.2621" Properties=species:S:1:pos:R:3 pbc="T T T"
Ga 0.0000 2.6310 0.0000
Ga 0.0000 0.0000 2.6310
Ga 2.6310 0.0000 0.0000
Tl 0.0000 0.0000 0.0000
P 2.6310 2.6310 2.6310
```

Results
* symmetry: Pm-3m (221)
* M_tot: 0.00 Bohr magnetons per cell
* distance to the lowest polymorph of the same formula: 649 meV per atom
* energy of formation: 905.3 meV/atom



The following is a DFT calculation (GGA-PBE) of a relaxed KSmVBr6 crystal.

Structure (extended XYZ):
```
18
Lattice="7.1147 0.0000 0.0000 -3.5574 6.1615 0.0000 0.0000 0.0000 14.8302" Properties=species:S:1:pos:R:3 pbc="T T T"
Br 2.1365 3.9852 2.1243
Br -0.9621 6.0192 2.1243
Br -2.1365 3.9852 5.2908
Br 2.3830 3.8428 9.5394
Br 1.1743 2.3187 5.2908
Br 4.5195 0.1424 12.7059
Br -1.1743 2.3187 2.1243
Br 5.6938 2.1764 9.5394
Br 4.7317 3.8428 12.7059
Br 0.9621 6.0192 5.2908
Br 2.5952 0.1424 9.5394
Br 1.4209 2.1764 12.7059
K 0.0000 0.0000 0.0000
K 0.0000 0.0000 7.4151
Sm 0.0000 4.1077 11.1226
Sm 3.5574 2.0538 3.7075
V 3.5574 2.0538 11.1226
V 0.0000 4.1077 3.7075
```

Results
* symmetry: P-31c (163)
* M_tot: 6.00 Bohr magnetons per cell
* uncorrected energy: -4.27 eV/atom



The following is a DFT calculation (GGA-PBE) of a relaxed Ba2LiGeH crystal.

Structure (extended XYZ):
```
10
Lattice="-2.7254 3.7640 -0.7583 -5.3902 -4.3271 -2.1059 -0.7564 1.1840 8.5957" Properties=species:S:1:pos:R:3 pbc="T T T"
Ge -4.3298 -1.4628 0.9915
Ge -4.5422 2.0836 4.7400
H -3.0471 2.3066 0.4733
H -5.8249 -1.6858 5.2582
Ba -6.1963 -0.4095 -1.6900
Ba -6.8002 0.0526 2.7741
Ba -2.6756 1.0303 7.4215
Ba -2.0718 0.5682 2.9575
Li -4.5776 1.2513 0.7357
Li -4.2944 -0.6305 4.9959
```

Results
* symmetry: P2_1/m (11)
* M_tot: 0.00 Bohr magnetons per cell
* distance to the lowest polymorph of the same formula: 0 meV per atom



The following is a DFT calculation (GGA-PBE) of a relaxed Sr2CaLaO crystal.

Structure (extended XYZ):
```
5
Lattice="-5.8279 1.6770 -1.1118 -1.2359 -0.2951 6.0331 1.1955 4.4617 0.4632" Properties=species:S:1:pos:R:3 pbc="T T T"
La 0.5978 2.2308 0.2316
Sr -0.6180 -0.1476 3.0166
Sr -2.9139 0.8385 -0.5559
Ca -2.9341 2.9218 2.6922
O 0.0000 0.0000 0.0000
```

Results
* symmetry: P4/mmm (123)
* M_tot: 0.00 Bohr magnetons per cell
* uncorrected energy: -4.03 eV/atom



The following is a DFT calculation (GGA-PBE) of a relaxed La6Tl3Hg crystal.

Structure (extended XYZ):
```
20
Lattice="8.5689 0.0000 -0.1074 0.0000 8.5094 0.0000 -0.0166 0.0000 9.5137" Properties=species:S:1:pos:R:3 pbc="T T T"
La 6.4129 7.6367 2.2416
La 1.4666 2.8248 4.0776
La 5.7427 1.4299 8.7807
La 1.3085 2.9060 0.6198
La 2.9677 7.1607 4.0834
La 7.2438 5.6034 8.7865
La 5.5847 1.3487 5.3230
La 2.1394 0.8727 7.1647
La 2.8096 7.0795 0.6256
La 6.4321 3.3820 2.3542
La 7.0858 5.6846 5.3287
La 2.1202 5.1274 7.0522
Hg 0.0000 0.0000 0.0000
Hg 4.2762 4.2547 4.7032
Tl 4.7113 7.1971 7.1951
Tl -0.0083 0.0000 4.7568
Tl 4.2844 4.2547 -0.0537
Tl 3.8411 1.3124 2.2112
Tl 0.4351 5.5671 2.4919
Tl 8.1172 2.9424 6.9144
```

Results
* symmetry: P2_1/c (14)
* M_tot: 0.00 Bohr magnetons per cell
* distance to the lowest polymorph of the same formula: 122 meV per atom
* energy of formation: -226.6 meV/atom



The following is a DFT calculation (GGA-PBE) of a relaxed MnNi3P2 crystal.

Structure (extended XYZ):
```
18
Lattice="-5.7562 -4.8570 4.1510 2.9952 -2.4866 -7.6682 2.5647 -1.7096 1.5561" Properties=species:S:1:pos:R:3 pbc="T T T"
P -4.0143 -4.3852 1.7985
P -1.0665 -4.9164 -3.6434
P -1.6945 -2.4272 0.1262
P 1.2533 -2.9584 -5.3157
P -2.8077 -5.3880 -1.2919
P 0.0466 -1.9556 -2.2253
Ni -1.3805 -3.6718 -1.7586
Ni -2.8781 -2.4285 2.0755
Ni -0.6936 -6.1103 -1.7390
Ni 1.4976 -1.2433 -3.8341
Ni 0.4973 -2.9429 -0.2220
Ni 0.1585 -6.8170 -3.9197
Ni -2.3305 -7.4912 -0.5582
Ni -0.3548 -2.2362 1.9586
Ni 2.1342 -1.5620 -1.4028
Mn -1.5540 -4.9210 0.9857
Mn 0.0000 0.0000 0.0000
Mn 1.3577 -4.1323 -2.9468
```

Results
* symmetry: P6/mmm (191)
* M_tot: 12.03 Bohr magnetons per cell
* distance to the lowest polymorph of the same formula: 90 meV per atom
* energy of formation: -318.4 meV/atom